[1]
Entry from the Alexandria database: crystalline LiEuAu at its relaxed geometry (PBE-GGA).

## Properties
Total magnetic moment (Bohr magnetons per cell): 7.2
ΔH_f (0 K) (meV/atom): -473

Unit cell a=3.6826 b=3.6826 c=5.7904 alpha=108.54 beta=108.54 gamma=90.00
Last column: magnetic moment on the atom in μB.
Positions (direct):
Eu1 0.9395 0.9395 0.8789  6.89
Au1 0.2573 0.2573 0.5146  0.00
Li1 0.6532 0.6532 0.3065  0.02



[2]
Entry from the Alexandria database: crystalline Pu2Ga4GePt3 at its relaxed geometry (PBE-GGA).

## Properties
Total magnetic moment (Bohr magnetons per cell): 11.1
ΔH_f (0 K) (meV/atom): -631

Unit cell a=4.2792 b=4.2792 c=10.5759 alpha=90.00 beta=90.00 gamma=90.00
Last column: magnetic moment on the atom in μB.
Positions (direct):
Pu1 0.5000 0.0000 0.2512  5.29
Pu2 0.0000 0.5000 0.7488  5.29
Ga1 0.5000 0.5000 0.0000  0.02
Ga2 0.0000 0.0000 0.0000  0.01
Ga3 0.5000 0.0000 0.6373  0.00
Ga4 0.0000 0.5000 0.3627  0.00
Ge1 0.5000 0.5000 0.5000  -0.04
Pt1 0.0000 0.0000 0.5000  -0.03
Pt2 0.5000 0.0000 0.8691  0.00
Pt3 0.0000 0.5000 0.1309  0.00



[3]
Entry from the Alexandria database: crystalline HgRu2 at its relaxed geometry (PBE-GGA).

## Properties
Total magnetic moment (Bohr magnetons per cell): 0.0
ΔH_f (0 K) (meV/atom): 389

Unit cell a=2.8308 b=2.8308 c=6.9852 alpha=90.00 beta=90.00 gamma=120.00
Positions (direct):
Hg1 0.0000 0.0000 0.0000
Ru1 0.3333 0.6667 0.6435
Ru2 0.6667 0.3333 0.3565



[4]
Entry from the Alexandria database: crystalline VAgSe2 at its relaxed geometry (PBE-GGA).

## Properties
Total magnetic moment (Bohr magnetons per cell): 4.0
Uncorrected energy (eV per atom): -5.072

Unit cell a=5.9011 b=5.9011 c=7.1569 alpha=65.65 beta=65.65 gamma=90.00
Last column: magnetic moment on the atom in μB.
Positions (direct):
Ag1 0.0000 0.0000 0.0000  -0.01
Ag2 0.7500 0.2500 0.5000  -0.01
Se1 0.5900 0.1250 0.2500  -0.09
Se2 0.1600 0.6250 0.2500  -0.09
Se3 0.3750 0.4100 0.7500  -0.09
Se4 0.8750 0.8400 0.7500  -0.09
V1 0.5000 0.5000 0.0000  1.96
V2 0.2500 0.7500 0.5000  1.96